Entry 1:
DFT (GGA-PBE) results for Mn2PIr after structural relaxation. Values from VASP.

The structure in Quantum ESPRESSO input format:
```
&SYSTEM
  ibrav = 0, nat = 4, ntyp = 3
/
ATOMIC_SPECIES
P 30.97 P.upf
Mn 54.94 Mn.upf
Ir 192.22 Ir.upf
CELL_PARAMETERS angstrom
4.566 0.000 0.000
1.771 4.208 0.000
-3.169 -2.104 2.526
ATOMIC_POSITIONS angstrom
P 0.886 2.104 1.263
Mn 0.000 0.000 0.000
Mn 3.169 2.104 0.000
Ir 2.283 0.000 1.263
```

Properties
The space group is No. 139. Its total energy is -8.229 eV per atom.

Entry 2:
DFT (GGA-PBE) results for Mn2PIr after structural relaxation. Values from VASP.

The structure in Quantum ESPRESSO input format:
```
&SYSTEM
  ibrav = 0, nat = 4, ntyp = 3
/
ATOMIC_SPECIES
P 30.97 P.upf
Mn 54.94 Mn.upf
Ir 192.22 Ir.upf
CELL_PARAMETERS angstrom
-3.631 -0.141 0.727
-0.458 -0.921 -2.466
0.231 -5.064 0.174
ATOMIC_POSITIONS angstrom
P -1.872 -1.567 -0.209
Mn -0.070 -2.777 -0.886
Mn -0.044 -0.216 -0.260
Ir -1.986 -4.559 -1.355
```

Properties
The space group is No. 10. Its total energy is -8.304 eV per atom.

Entry 3:
DFT (GGA-PBE) results for MnP2Ir after structural relaxation. Values from VASP.

The structure in Quantum ESPRESSO input format:
```
&SYSTEM
  ibrav = 0, nat = 4, ntyp = 3
/
ATOMIC_SPECIES
P 30.97 P.upf
Ir 192.22 Ir.upf
Mn 54.94 Mn.upf
CELL_PARAMETERS angstrom
3.297 0.000 0.000
0.000 3.297 0.000
0.000 0.000 4.911
ATOMIC_POSITIONS angstrom
P 1.649 1.649 1.486
P 0.000 0.000 4.621
Ir 0.000 0.000 2.195
Mn 1.649 1.649 3.976
```

Properties
The value obtained for the energy above the lowest structure with this stoichiometry is 72 meV per atom. The space group is No. 99. Its total energy is -7.486 eV per atom.

Entry 4:
DFT (GGA-PBE) results for Mn3PIr after structural relaxation. Values from VASP.

The structure in Quantum ESPRESSO input format:
```
&SYSTEM
  ibrav = 0, nat = 5, ntyp = 3
/
ATOMIC_SPECIES
P 30.97 P.upf
Ir 192.22 Ir.upf
Mn 54.94 Mn.upf
CELL_PARAMETERS angstrom
4.777 0.000 0.000
0.000 4.777 0.000
0.000 0.000 4.777
ATOMIC_POSITIONS angstrom
P 2.388 2.388 2.388
Ir 0.000 0.000 0.000
Mn 2.388 0.000 0.000
Mn 0.000 0.000 2.388
Mn 0.000 2.388 0.000
```

Properties
The value obtained for the energy above the lowest structure with this stoichiometry is 486 meV per atom. The space group is No. 221. Its total energy is -7.255 eV per atom.

Entry 5:
DFT (GGA-PBE) results for Mn2PIr after structural relaxation. Values from VASP.

The structure in Quantum ESPRESSO input format:
```
&SYSTEM
  ibrav = 0, nat = 4, ntyp = 3
/
ATOMIC_SPECIES
P 30.97 P.upf
Mn 54.94 Mn.upf
Ir 192.22 Ir.upf
CELL_PARAMETERS angstrom
-3.009 -1.705 -2.703
-2.708 -3.414 -0.530
-3.194 2.322 2.268
ATOMIC_POSITIONS angstrom
P -4.589 -0.999 -0.150
Mn -3.218 2.237 2.205
Mn -6.470 -2.113 -0.766
Ir -2.283 -0.997 -0.468
```

Properties
The space group is No. 8. Its total energy is -8.271 eV per atom.

Entry 6:
DFT (GGA-PBE) results for MnP2Ir after structural relaxation. Values from VASP.

The structure in Quantum ESPRESSO input format:
```
&SYSTEM
  ibrav = 0, nat = 4, ntyp = 3
/
ATOMIC_SPECIES
Mn 54.94 Mn.upf
P 30.97 P.upf
Ir 192.22 Ir.upf
CELL_PARAMETERS angstrom
6.663 0.018 0.040
-2.708 3.257 -0.009
1.248 1.046 2.407
ATOMIC_POSITIONS angstrom
Mn 1.978 1.637 0.016
P 0.000 0.000 0.000
P 3.955 0.532 1.224
Ir -0.730 2.152 1.199
```

Properties
The value obtained for the energy above the lowest structure with this stoichiometry is 272 meV per atom. The space group is No. 65. Its total energy is -7.286 eV per atom.

Entry 7:
DFT (GGA-PBE) results for MnPIr after structural relaxation. Values from VASP.

The structure in Quantum ESPRESSO input format:
```
&SYSTEM
  ibrav = 0, nat = 3, ntyp = 3
/
ATOMIC_SPECIES
P 30.97 P.upf
Mn 54.94 Mn.upf
Ir 192.22 Ir.upf
CELL_PARAMETERS angstrom
-1.231 0.785 -3.756
1.986 -3.415 0.797
-2.554 -1.356 0.554
ATOMIC_POSITIONS angstrom
P -1.214 -3.145 -0.259
Mn -1.010 -1.067 -2.054
Ir -2.128 -1.130 0.462
```

Properties
The space group is No. 187. Its total energy is -8.139 eV per atom.

Entry 8:
DFT (GGA-PBE) results for MnP2Ir after structural relaxation. Values from VASP.

The structure in Quantum ESPRESSO input format:
```
&SYSTEM
  ibrav = 0, nat = 4, ntyp = 3
/
ATOMIC_SPECIES
P 30.97 P.upf
Ir 192.22 Ir.upf
Mn 54.94 Mn.upf
CELL_PARAMETERS angstrom
-6.510 3.376 0.653
-6.484 1.630 3.085
-5.102 4.285 3.134
ATOMIC_POSITIONS angstrom
P -13.591 6.978 5.161
P -18.021 9.252 6.844
Ir -8.904 4.571 3.381
Mn -4.725 2.426 1.794
```

Properties
The value obtained for the energy above the lowest structure with this stoichiometry is 283 meV per atom. The space group is No. 160. Its total energy is -7.275 eV per atom.

Entry 9:
DFT (GGA-PBE) results for Mn2PIr after structural relaxation. Values from VASP.

The structure in Quantum ESPRESSO input format:
```
&SYSTEM
  ibrav = 0, nat = 8, ntyp = 3
/
ATOMIC_SPECIES
Mn 54.94 Mn.upf
Ir 192.22 Ir.upf
P 30.97 P.upf
CELL_PARAMETERS angstrom
5.201 0.000 0.000
0.000 5.201 0.000
2.600 2.600 5.086
ATOMIC_POSITIONS angstrom
Mn 3.901 3.976 3.815
Mn 6.501 6.426 3.815
Mn 3.826 1.300 1.272
Mn 1.375 3.901 1.272
Ir 5.201 2.600 2.543
Ir 0.000 0.000 0.000
P 2.600 5.201 2.543
P 2.600 2.600 0.000
```

Properties
The space group is No. 122. Its total energy is -7.640 eV per atom.

Entry 10:
DFT (GGA-PBE) results for MnP2Ir after structural relaxation. Values from VASP.

The structure in Quantum ESPRESSO input format:
```
&SYSTEM
  ibrav = 0, nat = 4, ntyp = 3
/
ATOMIC_SPECIES
P 30.97 P.upf
Mn 54.94 Mn.upf
Ir 192.22 Ir.upf
CELL_PARAMETERS angstrom
-0.381 -4.358 0.029
1.719 -0.135 2.379
-3.235 0.299 2.354
ATOMIC_POSITIONS angstrom
P -1.680 0.176 4.398
P -0.345 -2.156 1.488
Mn -1.209 -2.064 3.932
Ir -0.937 0.095 2.043
```

Properties
The value obtained for the energy above the lowest structure with this stoichiometry is 62 meV per atom. The space group is No. 25. Its total energy is -7.496 eV per atom.

Entry 11:
DFT (GGA-PBE) results for Mn2PIr after structural relaxation. Values from VASP.

The structure in Quantum ESPRESSO input format:
```
&SYSTEM
  ibrav = 0, nat = 4, ntyp = 3
/
ATOMIC_SPECIES
P 30.97 P.upf
Mn 54.94 Mn.upf
Ir 192.22 Ir.upf
CELL_PARAMETERS angstrom
-1.740 -1.964 0.665
0.040 -1.229 -3.524
3.801 -2.999 1.089
ATOMIC_POSITIONS angstrom
P 0.100 -2.346 -1.157
Mn 1.870 -1.475 0.536
Mn 0.031 -0.024 0.009
Ir 2.001 -3.845 -0.613
```

Properties
The space group is No. 47. Its total energy is -8.245 eV per atom.

Entry 12:
DFT (GGA-PBE) results for MnPIr after structural relaxation. Values from VASP.

The structure in Quantum ESPRESSO input format:
```
&SYSTEM
  ibrav = 0, nat = 3, ntyp = 3
/
ATOMIC_SPECIES
Ir 192.22 Ir.upf
Mn 54.94 Mn.upf
P 30.97 P.upf
CELL_PARAMETERS angstrom
4.361 -0.020 -0.024
1.670 4.029 0.024
-2.629 -2.586 2.329
ATOMIC_POSITIONS angstrom
Ir 0.050 0.033 0.000
Mn 3.946 2.623 0.000
P 2.035 1.353 0.000
```

Properties
The space group is No. 44. Its total energy is -7.843 eV per atom.

Entry 13:
DFT (GGA-PBE) results for Mn2PIr after structural relaxation. Values from VASP.

The structure in Quantum ESPRESSO input format:
```
&SYSTEM
  ibrav = 0, nat = 4, ntyp = 3
/
ATOMIC_SPECIES
Mn 54.94 Mn.upf
P 30.97 P.upf
Ir 192.22 Ir.upf
CELL_PARAMETERS angstrom
2.720 0.000 0.000
0.000 2.720 0.000
0.000 0.000 6.275
ATOMIC_POSITIONS angstrom
Mn 0.000 0.000 0.241
Mn 0.000 0.000 2.896
P 1.360 1.360 1.569
Ir 1.360 1.360 4.706
```

Properties
The space group is No. 123. Its total energy is -8.438 eV per atom.

Entry 14:
DFT (GGA-PBE) results for MnP2Ir after structural relaxation. Values from VASP.

The structure in Quantum ESPRESSO input format:
```
&SYSTEM
  ibrav = 0, nat = 4, ntyp = 3
/
ATOMIC_SPECIES
P 30.97 P.upf
Ir 192.22 Ir.upf
Mn 54.94 Mn.upf
CELL_PARAMETERS angstrom
2.877 0.000 0.000
0.000 2.957 0.000
0.000 0.000 5.777
ATOMIC_POSITIONS angstrom
P 0.000 0.000 3.033
P 0.000 0.000 5.633
Ir 1.439 1.479 1.444
Mn 1.439 1.479 4.333
```

Properties
The value obtained for the energy above the lowest structure with this stoichiometry is 286 meV per atom. The space group is No. 47. Its total energy is -7.272 eV per atom.

Entry 15:
DFT (GGA-PBE) results for MnP3Ir after structural relaxation. Values from VASP.

The structure in Quantum ESPRESSO input format:
```
&SYSTEM
  ibrav = 0, nat = 5, ntyp = 3
/
ATOMIC_SPECIES
Mn 54.94 Mn.upf
P 30.97 P.upf
Ir 192.22 Ir.upf
CELL_PARAMETERS angstrom
4.583 0.000 0.000
0.000 4.583 0.000
0.000 0.000 4.583
ATOMIC_POSITIONS angstrom
Mn 2.291 2.291 2.291
P 2.291 0.000 0.000
P 0.000 0.000 2.291
P 0.000 2.291 0.000
Ir 0.000 0.000 0.000
```

Properties
The value obtained for the energy above the lowest structure with this stoichiometry is 601 meV per atom. The space group is No. 221. Its total energy is -5.544 eV per atom.

Taking the records one at a time from the top gives total magnetic moment values of 2.89, 0.00, 1.95, 12.92, 3.44, 2.61, 3.37, 2.33, 0.00, 1.38, 4.21, 3.29, 0.00, 0.61, 0.27 μB/f.u..
Taking the records one at a time from the top gives formation energy from the elements values of -0.08, -0.15, -0.27, 1.10, -0.12, -0.07, -0.33, -0.06, 0.51, -0.28, -0.09, -0.03, -0.29, -0.06, 1.31 eV/atom.